[1]
VASP calculation (PBE-GGA) on an optimized crystal structure of HoTmSc4.

a = 6.2252 Å, b = 6.2252 Å, c = 6.2252 Å
α = 60.00°, β = 60.00°, γ = 60.00°
With the nearest neighbours (Å) after each atom.
Sites, in units of the cell vectors:
1 Ho 0.0000 0.0000 0.0000  12 Sc 3.65, 4 Tm 3.81
2 Tm 0.7500 0.7500 0.7500  12 Sc 3.65, 4 Ho 3.81
3 Sc 0.3750 0.3750 0.3750  6 Sc 3.11
4 Sc 0.3750 0.3750 0.8750  6 Sc 3.11
5 Sc 0.3750 0.8750 0.3750  6 Sc 3.11
6 Sc 0.8750 0.3750 0.3750  6 Sc 3.11

Computed properties:
M_tot: 5.31 μB per formula unit
ΔE_f: 1.37 eV/f.u.


[2]
VASP calculation (PBE-GGA) on an optimized crystal structure of Ho3Tm12Sc.

a = 4.9234 Å, b = 4.9234 Å, c = 19.6693 Å
α = 90.00°, β = 90.00°, γ = 90.00°
With the nearest neighbours (Å) after each atom.
Sites, in units of the cell vectors:
1 Ho 0.0000 0.0000 0.0000  12 Tm 3.48-3.49
2 Ho 0.0000 0.0000 0.2516  12 Tm 3.48-3.50
3 Ho 0.0000 0.0000 0.7484  12 Tm 3.48-3.50
4 Tm 0.0000 0.5000 0.1261  8 Tm 3.48-3.50, 4 Ho 3.49
5 Tm 0.0000 0.5000 0.3783  2 Sc 3.43, 8 Tm 3.43-3.49, 2 Ho 3.50
6 Tm 0.0000 0.5000 0.6217  2 Sc 3.43, 8 Tm 3.43-3.49, 2 Ho 3.50
7 Tm 0.0000 0.5000 0.8739  8 Tm 3.48-3.50, 4 Ho 3.49
8 Tm 0.5000 0.0000 0.1261  8 Tm 3.48-3.50, 4 Ho 3.49
9 Tm 0.5000 0.0000 0.3783  2 Sc 3.43, 8 Tm 3.43-3.49, 2 Ho 3.50
10 Tm 0.5000 0.0000 0.6217  2 Sc 3.43, 8 Tm 3.43-3.49, 2 Ho 3.50
11 Tm 0.5000 0.0000 0.8739  8 Tm 3.48-3.50, 4 Ho 3.49
12 Tm 0.5000 0.5000 0.0000  4 Ho 3.48, 8 Tm 3.49
13 Tm 0.5000 0.5000 0.2523  4 Ho 3.48, 8 Tm 3.49-3.50
14 Tm 0.5000 0.5000 0.5000  8 Tm 3.43, 4 Sc 3.48
15 Tm 0.5000 0.5000 0.7477  4 Ho 3.48, 8 Tm 3.49-3.50
16 Sc 0.0000 0.0000 0.5000  12 Tm 3.43-3.48

Computed properties:
M_tot: 0.00 μB per formula unit
ΔE_f: 0.49 eV/f.u.


[3]
VASP calculation (PBE-GGA) on an optimized crystal structure of Ho14TmSc.

a = 7.0129 Å, b = 7.0129 Å, c = 9.9007 Å
α = 90.00°, β = 90.00°, γ = 90.00°
With the nearest neighbours (Å) after each atom.
Sites, in units of the cell vectors:
1 Ho 0.0000 0.0000 0.0000  12 Ho 3.51
2 Ho 0.0000 0.5000 0.0000  12 Ho 3.51-3.52
3 Ho 0.0000 0.5000 0.5000  8 Ho 3.49, 2 Tm 3.51, 2 Sc 3.51
4 Ho 0.2488 0.2488 0.2524  1 Sc 3.48, 10 Ho 3.49-3.53, 1 Tm 3.50
5 Ho 0.2488 0.2488 0.7476  1 Sc 3.48, 10 Ho 3.49-3.53, 1 Tm 3.50
6 Ho 0.2488 0.7512 0.2524  1 Sc 3.48, 10 Ho 3.49-3.53, 1 Tm 3.50
7 Ho 0.2488 0.7512 0.7476  1 Sc 3.48, 10 Ho 3.49-3.53, 1 Tm 3.50
8 Ho 0.5000 0.0000 0.0000  12 Ho 3.51-3.52
9 Ho 0.5000 0.0000 0.5000  8 Ho 3.49, 2 Tm 3.51, 2 Sc 3.51
10 Ho 0.5000 0.5000 0.0000  12 Ho 3.51-3.53
11 Ho 0.7512 0.2488 0.2524  1 Sc 3.48, 10 Ho 3.49-3.53, 1 Tm 3.50
12 Ho 0.7512 0.2488 0.7476  1 Sc 3.48, 10 Ho 3.49-3.53, 1 Tm 3.50
13 Ho 0.7512 0.7512 0.2524  1 Sc 3.48, 10 Ho 3.49-3.53, 1 Tm 3.50
14 Ho 0.7512 0.7512 0.7476  1 Sc 3.48, 10 Ho 3.49-3.53, 1 Tm 3.50
15 Tm 0.5000 0.5000 0.5000  12 Ho 3.50-3.51
16 Sc 0.0000 0.0000 0.5000  12 Ho 3.48-3.51

Computed properties:
M_tot: 0.00 μB per formula unit
ΔE_f: 0.39 eV/f.u.


[4]
VASP calculation (PBE-GGA) on an optimized crystal structure of Ho12TmSc6.

a = 9.0190 Å, b = 9.0190 Å, c = 9.0190 Å
α = 107.74°, β = 107.74°, γ = 107.74°
With the nearest neighbours (Å) after each atom.
Sites, in units of the cell vectors:
1 Ho 0.0000 0.3879 0.6121  4 Sc 3.21-3.30, 5 Ho 3.27-3.53
2 Ho 0.0000 0.6121 0.3879  4 Sc 3.21-3.30, 5 Ho 3.27-3.53
3 Ho 0.1333 0.1333 0.3573  1 Sc 2.97, 2 Ho 3.26
4 Ho 0.1333 0.3573 0.1333  1 Sc 2.97, 2 Ho 3.26
5 Ho 0.3573 0.1333 0.1333  1 Sc 2.97, 2 Ho 3.26
6 Ho 0.3879 0.0000 0.6121  4 Sc 3.21-3.30, 5 Ho 3.27-3.53
7 Ho 0.3879 0.6121 0.0000  4 Sc 3.21-3.30, 5 Ho 3.27-3.53
8 Ho 0.6121 0.0000 0.3879  4 Sc 3.21-3.30, 5 Ho 3.27-3.53
9 Ho 0.6121 0.3879 0.0000  4 Sc 3.21-3.30, 5 Ho 3.27-3.53
10 Ho 0.6427 0.8667 0.8667  1 Sc 2.97, 2 Ho 3.26
11 Ho 0.8667 0.6427 0.8667  1 Sc 2.97, 2 Ho 3.26
12 Ho 0.8667 0.8667 0.6427  1 Sc 2.97, 2 Ho 3.26
13 Tm 0.5000 0.5000 0.5000  6 Ho 3.42
14 Sc 0.1866 0.1866 0.7756  5 Ho 2.97-3.30
15 Sc 0.1866 0.7756 0.1866  5 Ho 2.97-3.30
16 Sc 0.2244 0.8134 0.8134  5 Ho 2.97-3.30
17 Sc 0.7756 0.1866 0.1866  5 Ho 2.97-3.30
18 Sc 0.8134 0.2244 0.8134  5 Ho 2.97-3.30
19 Sc 0.8134 0.8134 0.2244  5 Ho 2.97-3.30

Computed properties:
M_tot: 0.00 μB per formula unit
ΔE_f: 8.36 eV/f.u.


[5]
VASP calculation (PBE-GGA) on an optimized crystal structure of HoTm8Sc2.

a = 9.0602 Å, b = 9.0602 Å, c = 9.0602 Å
α = 146.15°, β = 127.20°, γ = 64.21°
With the nearest neighbours (Å) after each atom.
Sites, in units of the cell vectors:
1 Ho 0.0000 0.0000 0.0000  8 Tm 3.23-3.57
2 Tm 0.1512 0.8572 0.2941  1 Ho 3.23, 3 Sc 3.24-3.36, 6 Tm 3.32-3.56
3 Tm 0.1619 0.6619 0.5000  2 Sc 3.37, 8 Tm 3.43-3.56, 2 Ho 3.62
4 Tm 0.2985 0.5000 0.7985  7 Tm 3.25-3.46, 2 Sc 3.49, 2 Ho 3.57
5 Tm 0.4369 0.1428 0.2941  1 Ho 3.23, 3 Sc 3.24-3.36, 6 Tm 3.32-3.56
6 Tm 0.5631 0.8572 0.7059  1 Ho 3.23, 3 Sc 3.24-3.36, 6 Tm 3.32-3.56
7 Tm 0.7015 0.5000 0.2015  7 Tm 3.25-3.46, 2 Sc 3.49, 2 Ho 3.57
8 Tm 0.8381 0.3381 0.5000  2 Sc 3.37, 8 Tm 3.43-3.56, 2 Ho 3.62
9 Tm 0.8488 0.1428 0.7059  1 Ho 3.23, 3 Sc 3.24-3.36, 6 Tm 3.32-3.56
10 Sc 0.2984 0.2984 0.0000  10 Tm 3.24-3.49
11 Sc 0.7016 0.7016 0.0000  10 Tm 3.24-3.49

Computed properties:
M_tot: 0.00 μB per formula unit
ΔE_f: 1.40 eV/f.u.


[6]
VASP calculation (PBE-GGA) on an optimized crystal structure of HoTmSc2.

a = 4.8299 Å, b = 4.8299 Å, c = 4.6972 Å
α = 90.00°, β = 90.00°, γ = 90.00°
With the nearest neighbours (Å) after each atom.
Sites, in units of the cell vectors:
1 Ho 0.0000 0.0000 0.0000  8 Sc 3.37, 4 Tm 3.42
2 Tm 0.5000 0.5000 0.0000  8 Sc 3.37, 4 Ho 3.42
3 Sc 0.0000 0.5000 0.5000  4 Tm 3.37, 4 Ho 3.37, 4 Sc 3.42
4 Sc 0.5000 0.0000 0.5000  4 Tm 3.37, 4 Ho 3.37, 4 Sc 3.42

Computed properties:
M_tot: 0.00 μB per formula unit
ΔE_f: 0.21 eV/f.u.